(1)
Entry from Alexandria via LeMat-Bulk: RbPt2Au2 after structural relaxation (PBE).

Output
energy above the most stable polymorph in this dataset: 0 meV/atom
crystal system: tetragonal
total magnetic moment: 0.0 μB/cell
total energy: -3.8834 eV/atom
E_form: 0.0374 eV/atom

Lattice parameters (Å, degrees): 8.440 8.440 2.869 90.00 90.00 90.00
Fractional positions:
Rb1 0.000 0.000 0.000
Rb2 0.500 0.500 0.000
Pt1 0.114 0.386 0.000
Pt2 0.386 0.886 0.000
Pt3 0.614 0.114 0.000
Pt4 0.886 0.614 0.000
Au1 0.182 0.682 0.500
Au2 0.318 0.182 0.500
Au3 0.682 0.818 0.500
Au4 0.818 0.318 0.500

---

(2)
Entry from Alexandria via LeMat-Bulk: RbPtAu3 after structural relaxation (PBE).

Output
energy above the most stable polymorph in this dataset: 0 meV/atom
crystal system: cubic
total magnetic moment: 0.0 μB/cell
total energy: -3.2393 eV/atom
E_form: 0.1288 eV/atom

Lattice parameters (Å, degrees): 5.221 5.221 5.221 90.00 90.00 90.00
Fractional positions:
Rb1 0.000 0.000 0.000
Pt1 0.500 0.500 0.500
Au1 0.000 0.500 0.500
Au2 0.500 0.000 0.500
Au3 0.500 0.500 0.000

---

(3)
Entry from Alexandria via LeMat-Bulk: Rb8PtAu2 after structural relaxation (PBE).

Output
crystal system: orthorhombic
total magnetic moment: 0.0 μB/cell
total energy: -1.8465 eV/atom
E_form: 0.0022 eV/atom

Lattice parameters (Å, degrees): 10.411 10.411 10.411 147.91 123.19 66.75
Fractional positions:
Rb1 0.118 0.343 0.775
Rb2 0.131 0.131 0.000
Rb3 0.312 0.000 0.312
Rb4 0.432 0.657 0.775
Rb5 0.568 0.343 0.225
Rb6 0.688 0.000 0.688
Rb7 0.869 0.869 0.000
Rb8 0.882 0.657 0.225
Pt1 0.000 0.500 0.500
Au1 0.307 0.807 0.500
Au2 0.693 0.193 0.500

---

(4)
Entry from Alexandria via LeMat-Bulk: RbPtAu3 after structural relaxation (PBE).

Output
energy above the most stable polymorph in this dataset: 1749 meV/atom
crystal system: cubic
total magnetic moment: 0.0 μB/cell
total energy: -1.4898 eV/atom
E_form: 1.8783 eV/atom

Lattice parameters (Å, degrees): 5.571 5.571 5.571 90.00 90.00 90.00
Fractional positions:
Rb1 0.000 0.000 0.000
Pt1 0.500 0.500 0.500
Au1 0.000 0.000 0.500
Au2 0.000 0.500 0.000
Au3 0.500 0.000 0.000

---

(5)
Entry from Alexandria via LeMat-Bulk: Rb2PtAu2 after structural relaxation (PBE).

Output
crystal system: tetragonal
total magnetic moment: 0.0 μB/cell
total energy: -2.9996 eV/atom
E_form: -0.0934 eV/atom

Lattice parameters (Å, degrees): 7.105 7.105 5.484 90.00 90.00 90.00
Fractional positions:
Rb1 0.177 0.323 0.000
Rb2 0.323 0.823 0.000
Rb3 0.677 0.177 0.000
Rb4 0.823 0.677 0.000
Pt1 0.000 0.000 0.500
Pt2 0.500 0.500 0.500
Au1 0.143 0.643 0.500
Au2 0.357 0.143 0.500
Au3 0.643 0.857 0.500
Au4 0.857 0.357 0.500

---

(6)
Entry from Alexandria via LeMat-Bulk: RbPtAu after structural relaxation (PBE).

Output
energy above the most stable polymorph in this dataset: 159 meV/atom
crystal system: hexagonal
total magnetic moment: 0.0 μB/cell
total energy: -3.4517 eV/atom
E_form: -0.0232 eV/atom

Lattice parameters (Å, degrees): 4.466 4.466 5.241 90.00 90.00 120.00
Fractional positions:
Rb1 0.000 0.000 0.000
Pt1 0.333 0.667 0.500
Au1 0.667 0.333 0.500